The following is a DFT calculation (PBE) of a relaxed structure of Tb2PrTlHg4.

Results
Crystal system = trigonal
Magnetization = 0.0 μB per formula unit
Formation energy from the elements = -0.3788 eV/atom
Total energy = -2.580 eV/atom
DOS(E_F) = 18.66 states/eV/cell

Lattice parameters (Å, degrees): 5.2044 5.2044 27.3244 90.00 90.00 120.00
Space group R-3m (No. 166, hexagonal axes)
Unique sites:
1 Tb 0.0000 0.0000 0.2397 x6
2 Pr 0.0000 0.0000 0.0000 x3
3 Tl 0.0000 0.0000 0.5000 x3
4 Hg 0.0000 0.0000 0.1204 x6
5 Hg 0.0000 0.0000 0.3749 x6